Record 1
CaTl2Hg3 after structural relaxation. Source: Alexandria via LeMat-Bulk, functional PBE.

Output
symmetry = C2/m
size of the total moment = 0.00 μB/cell

extended XYZ file:
```
12
Lattice="2.565 -7.720 0.000 2.565 7.720 0.000 -0.188 0.000 8.354" Properties=species:S:1:pos:R:3 pbc="T T T"
Ca 2.565 5.350 0.000
Ca 2.565 -5.350 0.000
Tl 2.471 5.162 4.177
Tl 2.565 0.000 0.000
Tl 2.471 0.000 4.177
Tl 2.471 -5.162 4.177
Hg -0.035 0.000 2.153
Hg 2.393 2.713 6.378
Hg 2.548 2.713 1.975
Hg 2.393 -2.713 6.378
Hg 2.548 -2.713 1.975
Hg 4.976 0.000 6.201
```

=====

Record 2
VCd2HgH after structural relaxation. Source: Alexandria via LeMat-Bulk, functional PBE.

Output
symmetry = P4/mmm
size of the total moment = 2.96 μB/cell

extended XYZ file:
```
5
Lattice="5.346 0.000 0.000 0.000 5.346 0.000 0.000 0.000 5.302" Properties=species:S:1:pos:R:3 pbc="T T T"
V 0.000 0.000 0.000
Cd 0.000 2.673 2.651
Cd 2.673 0.000 2.651
Hg 0.000 0.000 2.651
H 2.673 2.673 0.000
```

=====

Record 3
PbWCI2 after structural relaxation. Source: Alexandria via LeMat-Bulk, functional PBE.

Output
symmetry = P4/mmm
size of the total moment = 6.66 μB/cell
uncorrected formation energy = 2643.0 meV/atom

extended XYZ file:
```
5
Lattice="6.220 0.000 0.000 0.000 6.220 0.000 0.000 0.000 5.654" Properties=species:S:1:pos:R:3 pbc="T T T"
Pb 0.000 0.000 0.000
W 0.000 0.000 2.827
C 3.110 3.110 2.827
I 0.000 3.110 0.000
I 3.110 0.000 0.000
```

=====

The calculation returns the following calculated total energy values, one per record and in order: -1.49; -1.73; -3.15 eV/atom.